## FePt3 (meta-GGA SCAN)

Data for a crystal of FePt3 relaxed with PBEsol.

Unit cell a=2.7120 b=3.8224 c=5.5066 alpha=90.00 beta=90.00 gamma=90.00
Last column: nearest neighbours and their distance in Å.
Atoms (fractional coordinates):
Fe1 0.0000 0.0000 0.0000  10 Pt 2.69-2.75, 2 Fe 2.71
Pt1 0.0000 0.0000 0.5000  10 Pt 2.71-2.74, 2 Fe 2.75
Pt2 0.5000 0.5000 0.2407  8 Pt 2.65-2.86, 4 Fe 2.69
Pt3 0.5000 0.5000 0.7593  8 Pt 2.65-2.86, 4 Fe 2.69

* space-group type: Pmmm, No. 47
* density of states at the Fermi level: 0.956 states/eV per atom
* total moment: 4.16 μB/f.u.
* final energy: -229.7 eV per cell